[1]
VASP calculation (GGA-PBE) on a relaxed structure of Li6GaPb.

CIF file:
```
data_Li6GaPb
_cell_length_a 4.758
_cell_length_b 5.931
_cell_length_c 10.235
_cell_angle_alpha 90.00
_cell_angle_beta 90.00
_cell_angle_gamma 90.00
_symmetry_space_group_name_H-M 'A m m 2'
_symmetry_Int_Tables_number 38
loop_
_symmetry_equiv_pos_as_xyz
'x,y,z'
'-x,-y,z'
'-x,y,z'
'x,-y,z'
'x,y+1/2,z+1/2'
'-x,-y+1/2,z+1/2'
'-x,y+1/2,z+1/2'
'x,-y+1/2,z+1/2'
loop_
_atom_site_label
_atom_site_fract_x
_atom_site_fract_y
_atom_site_fract_z
Li1 0.000 0.000 0.000
Li2 0.000 0.238 0.239
Li3 0.500 0.000 0.656
Li4 0.500 0.242 0.413
Ga1 0.500 0.000 0.159
Pb1 0.000 0.000 0.493
```

Calculated values
For the energy of formation from the pure elements, the calculation gives -218 meV per atom. Its size of the total moment is 0.00 μB/cell.

---

[2]
VASP calculation (GGA-PBE) on a relaxed structure of LiGa4Pb2.

CIF file:
```
data_LiGa4Pb2
_cell_length_a 4.738
_cell_length_b 4.738
_cell_length_c 15.251
_cell_angle_alpha 90.00
_cell_angle_beta 90.00
_cell_angle_gamma 90.00
_symmetry_space_group_name_H-M 'I 4/m m m'
_symmetry_Int_Tables_number 139
_symmetry_space_group_name_Hall '-I 4 2'
loop_
_atom_site_label
_atom_site_fract_x
_atom_site_fract_y
_atom_site_fract_z
Li1 0.000 0.000 0.000
Ga1 0.000 0.000 0.166
Ga2 0.000 0.500 0.000
Pb1 0.000 0.000 0.357
```

Calculated values
For the energy of formation from the pure elements, the calculation gives 211 meV per atom. Its size of the total moment is 0.00 μB/cell.

---

[3]
VASP calculation (GGA-PBE) on a relaxed structure of LiGaPb.

CIF file:
```
data_LiGaPb
_cell_length_a 4.6428
_cell_length_b 4.6428
_cell_length_c 7.6436
_cell_angle_alpha 90.00
_cell_angle_beta 90.00
_cell_angle_gamma 120.00
_symmetry_space_group_name_H-M 'P -6 m 2'
_symmetry_Int_Tables_number 187
_symmetry_space_group_name_Hall 'P -6 2'
loop_
_atom_site_label
_atom_site_fract_x
_atom_site_fract_y
_atom_site_fract_z
Li1 0.0000 0.0000 0.0000
Li2 0.0000 0.0000 0.5000
Ga1 0.6667 0.3333 0.1693
Pb1 0.3333 0.6667 0.2911
```

Calculated values
For the energy of formation from the pure elements, the calculation gives -109 meV per atom. Its size of the total moment is 0.00 μB/cell.

---

[4]
VASP calculation (GGA-PBE) on a relaxed structure of LiGaPb.

CIF file:
```
data_LiGaPb
_cell_length_a 5.0721
_cell_length_b 5.0721
_cell_length_c 6.1588
_cell_angle_alpha 90.00
_cell_angle_beta 90.00
_cell_angle_gamma 120.00
_symmetry_space_group_name_H-M 'P 63/m m c'
_symmetry_Int_Tables_number 194
_symmetry_space_group_name_Hall '-P 6c 2c'
loop_
_atom_site_label
_atom_site_fract_x
_atom_site_fract_y
_atom_site_fract_z
Li1 0.0000 0.0000 0.0000
Ga1 0.3333 0.6667 0.2500
Pb1 0.3333 0.6667 0.7500
```

Calculated values
For the energy of formation from the pure elements, the calculation gives -94 meV per atom. Its size of the total moment is 0.00 μB/cell.

---

Question: Which of these has the highest energy of formation from the pure elements?
Answer: LiGa4Pb2

---

Question: Number 2 is which compound?
Answer: LiGa4Pb2

---

Question: What is the formula in the first record?
Answer: Li6GaPb